No. 1
Material: K2RbSi2
Method: DFT, SCAN
State: single point on PBEsol structure

The structure in CIF format:
```
data_K2RbSi2
_chemical_formula_sum 'K4 Rb2 Si4'
_cell_length_a 5.417
_cell_length_b 5.417
_cell_length_c 12.816
_cell_angle_alpha 90.00
_cell_angle_beta 90.00
_cell_angle_gamma 90.00
_space_group_name_H-M_alt 'I 4/m m m'
_space_group_IT_number 139
_space_group_name_Hall '-I 4 2'
loop_
_atom_site_label
_atom_site_fract_x
_atom_site_fract_y
_atom_site_fract_z
K1 0.000 0.500 0.250
Rb1 0.000 0.000 0.000
Si1 0.000 0.000 0.414
```

Values from the calculation:
For the density of states at the Fermi level, the calculation gives 0.657 states/eV per atom. The calculation puts the electronic total energy at -11.35 eV/atom. As for the uncorrected formation energy: 0.14 eV per atom.


No. 2
Material: CrTeRu2
Method: DFT, SCAN
State: single point on PBEsol structure

The structure in CIF format:
```
data_CrTeRu2
_chemical_formula_sum 'Cr4 Te4 Ru8'
_cell_length_a 6.141
_cell_length_b 6.141
_cell_length_c 6.141
_cell_angle_alpha 90.00
_cell_angle_beta 90.00
_cell_angle_gamma 90.00
_space_group_name_H-M_alt 'F -4 3 m'
_space_group_IT_number 216
_space_group_name_Hall 'F -4 2 3'
loop_
_atom_site_label
_atom_site_fract_x
_atom_site_fract_y
_atom_site_fract_z
Cr1 0.000 0.000 0.000
Te1 0.250 0.250 0.750
Ru1 0.000 0.000 0.500
Ru2 0.250 0.250 0.250
```

Values from the calculation:
For the density of states at the Fermi level, the calculation gives 0.954 states/eV per atom. The calculation puts the electronic total energy at -30.85 eV/atom. As for the uncorrected formation energy: 0.47 eV per atom.